## PaZnPd4 (PBE)

Data for crystalline PaZnPd4 at its relaxed geometry. Values from VASP.

The space group is P4/mmm, No. 123. As for the total magnetization: 0.000 μB per formula unit. The total energy comes out at -0.2100 Ha/atom. Its formation energy is -0.459 eV/atom.

Cell and atoms, written as Quantum ESPRESSO input:
```
&SYSTEM
  ibrav = 0, nat = 6, ntyp = 3
/
ATOMIC_SPECIES
Pa 231.04 Pa.upf
Zn 65.41 Zn.upf
Pd 106.42 Pd.upf
ATOMIC_POSITIONS crystal
Pa 0.000 0.000 0.000
Zn 0.500 0.500 0.500
Pd 0.000 0.500 0.267
Pd 0.000 0.500 0.733
Pd 0.500 0.000 0.267
Pd 0.500 0.000 0.733
CELL_PARAMETERS angstrom
3.982 0.000 0.000
0.000 3.982 0.000
0.000 0.000 7.250
```